# Tb2Sc3Cd3 (PBE-GGA, optimized geometry)
data_Tb2Sc3Cd3
_chemical_formula_sum 'Tb2 Sc3 Cd3'
_cell_length_a 3.635
_cell_length_b 5.077
_cell_length_c 11.111
_cell_angle_alpha 103.21
_cell_angle_beta 99.41
_cell_angle_gamma 90.00
_symmetry_space_group_name_H-M 'P 1'
_symmetry_Int_Tables_number 1
_symmetry_space_group_name_Hall 'P 1'
loop_
_atom_site_label
_atom_site_fract_x
_atom_site_fract_y
_atom_site_fract_z
Sc1 0.622 0.622 0.243
Sc2 0.378 0.378 0.757
Sc3 0.500 0.000 0.000
Tb1 0.267 0.767 0.534
Tb2 0.733 0.233 0.466
Cd1 0.888 0.888 0.776
Cd2 0.112 0.112 0.224
Cd3 0.000 0.500 0.000
# total moment	0.00	μB per formula unit
# final energy	-4.0606	eV per atom
# symmetry	Immm
# formation energy from the elements	-17.9	kJ/mol of atoms